Computed, not measured: a relaxed Nd3Ho4Sc2 crystal at the PBE level of DFT.

Values from the calculation:
The value obtained for the density of states at the Fermi level is 1.51 states/eV per atom. Its formation energy is 0.1198 eV/atom. The calculation puts the offset from the most stable computed form at 58 meV/atom. The magnetic moment is 0.000 Bohr magnetons per cell. Its space group is No. 15.

Lattice parameters (Å, degrees): 9.8445 9.8445 6.6924 95.26 95.26 60.90
Sites, in units of the cell vectors:
Nd1 0.0110 0.9890 0.7500
Nd2 0.2986 0.3996 0.7654
Nd3 0.3996 0.2986 0.2654
Nd4 0.6004 0.7014 0.7346
Nd5 0.7014 0.6004 0.2346
Nd6 0.9890 0.0110 0.2500
Ho1 0.0639 0.3151 0.3868
Ho2 0.2979 0.6721 0.4852
Ho3 0.3151 0.0639 0.8868
Ho4 0.3279 0.7021 0.0148
Ho5 0.6721 0.2979 0.9852
Ho6 0.6849 0.9361 0.1132
Ho7 0.7021 0.3279 0.5148
Ho8 0.9361 0.6849 0.6132
Sc1 0.0430 0.6210 0.1310
Sc2 0.3790 0.9570 0.3690
Sc3 0.6210 0.0430 0.6310
Sc4 0.9570 0.3790 0.8690